--- P ---
# Mg2Mn2Se

An optimized crystal structure of Mg2Mn2Se (GGA-PBE, Alexandria via LeMat-Bulk).

symmetry	I4/mmm (139)

abc: 3.812 3.812 7.448
angles: 75.17 75.17 90.00
Fractional positions:
Mg 0.750 0.250 0.500
Mg 0.250 0.750 0.500
Mn 0.408 0.408 0.183
Mn 0.592 0.592 0.817
Se 0.000 0.000 0.000


--- Q ---
# Mg2Mn2Se

An optimized crystal structure of Mg2Mn2Se (GGA-PBE, Alexandria via LeMat-Bulk).

symmetry	P4/mbm (127)

abc: 5.968 5.968 4.455
angles: 90.00 90.00 90.00
Fractional positions:
Mg 0.165 0.665 0.500
Mg 0.665 0.835 0.500
Mg 0.835 0.335 0.500
Mg 0.335 0.165 0.500
Mn 0.369 0.869 0.000
Mn 0.869 0.631 0.000
Mn 0.631 0.131 0.000
Mn 0.131 0.369 0.000
Se 0.000 0.000 0.000
Se 0.500 0.500 0.000


Name the most stable of them. Q.


--- P ---
# Mg3MnSn

An optimized crystal structure of Mg3MnSn (GGA-PBE, Alexandria via LeMat-Bulk).

symmetry	Pm-3m (221)

abc: 5.083 5.083 5.083
angles: 90.00 90.00 90.00
Fractional positions:
Mg 0.000 0.500 0.000
Mg 0.000 0.000 0.500
Mg 0.500 0.000 0.000
Mn 0.000 0.000 0.000
Sn 0.500 0.500 0.500


--- Q ---
# Mg3MnSn

An optimized crystal structure of Mg3MnSn (GGA-PBE, Alexandria via LeMat-Bulk).

symmetry	Pm-3m (221)

abc: 5.345 5.345 5.345
angles: 90.00 90.00 90.00
Fractional positions:
Mg 0.000 0.500 0.000
Mg 0.000 0.000 0.500
Mg 0.500 0.000 0.000
Mn 0.500 0.500 0.500
Sn 0.000 0.000 0.000


Name the most stable of them. P.


--- P ---
# SrMgMn3

An optimized crystal structure of SrMgMn3 (GGA-PBE, Alexandria via LeMat-Bulk).

symmetry	Pm-3m (221)

abc: 5.026 5.026 5.026
angles: 90.00 90.00 90.00
Fractional positions:
Sr 0.500 0.500 0.500
Mg 0.000 0.000 0.000
Mn 0.000 0.500 0.000
Mn 0.000 0.000 0.500
Mn 0.500 0.000 0.000


--- Q ---
# SrMgMn3

An optimized crystal structure of SrMgMn3 (GGA-PBE, Alexandria via LeMat-Bulk).

symmetry	Pm-3m (221)

abc: 5.251 5.251 5.251
angles: 90.00 90.00 90.00
Fractional positions:
Sr 0.000 0.000 0.000
Mg 0.500 0.500 0.500
Mn 0.000 0.500 0.000
Mn 0.000 0.000 0.500
Mn 0.500 0.000 0.000


Name the most stable of them. P.


--- P ---
# Mg2TaMn

An optimized crystal structure of Mg2TaMn (GGA-PBE, Alexandria via LeMat-Bulk).

symmetry	Fm-3m (225)

abc: 4.548 4.548 4.548
angles: 60.00 60.00 60.00
Fractional positions:
Mg 0.250 0.250 0.250
Mg 0.750 0.750 0.750
Mn 0.000 0.000 0.000
Ta 0.500 0.500 0.500


--- Q ---
# Mg2TaMn

An optimized crystal structure of Mg2TaMn (GGA-PBE, Alexandria via LeMat-Bulk).

symmetry	Cmmm (65)

abc: 5.400 5.400 2.804
angles: 90.00 90.00 118.97
Fractional positions:
Mg 0.000 0.000 0.000
Mg 0.500 0.500 0.000
Mn 0.500 0.000 0.500
Ta 0.000 0.500 0.500


--- R ---
# Mg2TaMn

An optimized crystal structure of Mg2TaMn (GGA-PBE, Alexandria via LeMat-Bulk).

symmetry	P2/m (10)

abc: 4.786 2.810 5.353
angles: 76.43 90.00 90.00
Fractional positions:
Mg 0.000 0.063 0.009
Mg 0.000 0.437 0.491
Mn 0.500 0.250 0.250
Ta 0.500 0.750 0.750


Name the most stable of them. R.


--- P ---
# MgTa3Mn

An optimized crystal structure of MgTa3Mn (GGA-PBE, Alexandria via LeMat-Bulk).

symmetry	Pm-3m (221)

abc: 4.646 4.646 4.646
angles: 90.00 90.00 90.00
Fractional positions:
Mg 0.000 0.000 0.000
Mn 0.500 0.500 0.500
Ta 0.000 0.500 0.000
Ta 0.000 0.000 0.500
Ta 0.500 0.000 0.000


--- Q ---
# MgTa3Mn

An optimized crystal structure of MgTa3Mn (GGA-PBE, Alexandria via LeMat-Bulk).

symmetry	Pm-3m (221)

abc: 4.634 4.634 4.634
angles: 90.00 90.00 90.00
Fractional positions:
Mg 0.500 0.500 0.500
Mn 0.000 0.000 0.000
Ta 0.000 0.500 0.000
Ta 0.000 0.000 0.500
Ta 0.500 0.000 0.000


Name the most stable of them. Q.


--- P ---
# MgTaMn3

An optimized crystal structure of MgTaMn3 (GGA-PBE, Alexandria via LeMat-Bulk).

symmetry	Pm-3m (221)

abc: 4.346 4.346 4.346
angles: 90.00 90.00 90.00
Fractional positions:
Mg 0.000 0.000 0.000
Mn 0.000 0.500 0.000
Mn 0.000 0.000 0.500
Mn 0.500 0.000 0.000
Ta 0.500 0.500 0.500


--- Q ---
# MgTaMn3

An optimized crystal structure of MgTaMn3 (GGA-PBE, Alexandria via LeMat-Bulk).

symmetry	Pm-3m (221)

abc: 4.708 4.708 4.708
angles: 90.00 90.00 90.00
Fractional positions:
Mg 0.500 0.500 0.500
Mn 0.000 0.500 0.000
Mn 0.000 0.000 0.500
Mn 0.500 0.000 0.000
Ta 0.000 0.000 0.000


Name the most stable of them. Q.